Material: CrFeO4
Method: DFT, GGA+U
State: relaxed

The structure in POSCAR format:
```
CrFeO4
1.0
5.348 0.000 0.000
0.000 5.348 0.000
0.000 0.000 8.361
Cr Fe O
2 2 8
Direct
0.000 0.000 0.000
0.500 0.500 0.500
0.000 0.500 0.750
0.500 0.000 0.250
0.114 0.766 0.877
0.234 0.114 0.123
0.266 0.386 0.623
0.386 0.734 0.377
0.614 0.266 0.377
0.734 0.614 0.623
0.766 0.886 0.123
0.886 0.234 0.877
```

Properties
- calculated total energy (eV per cell) = -81.0
- magnetic moment (μB per atom) = 1.00